No. 1
This record from the Alexandria database describes a geometry-optimized Er2HgAu3 structure. The functional is PBE-GGA.

a b c (Å): 4.7547 14.8974 3.7824
angles (deg): 90.00 90.00 90.00
Space group Cmmm (No. 65)
Inequivalent atoms, fractional coordinates:
Er 0.0000 0.1563 0.0000 x4
Hg 0.0000 0.5000 0.0000 x2
Au 0.0000 0.0000 0.5000 x2
Au 0.0000 0.3127 0.5000 x4

Properties
- D(E_F) (states/eV/f.u.) = 4.02
- DFT total energy (eV per atom) = -3.859
- size of the total moment (μB/atom) = 0.0000
- energy of formation (meV/atom) = -649


No. 2
This record from the Alexandria database describes a geometry-optimized TlSbN3 structure. The functional is PBE-GGA.

a b c (Å): 4.2528 4.2528 4.2528
angles (deg): 90.00 90.00 90.00
Space group Pm-3m (No. 221)
Inequivalent atoms, fractional coordinates:
Tl 0.0000 0.0000 0.0000 x1
Sb 0.5000 0.5000 0.5000 x1
N 0.0000 0.0000 0.5000 x3

Properties
- E_form (uncorrected) (eV per formula unit) = 11.41
- D(E_F) (states/eV/f.u.) = 4.35
- DFT total energy (eV per atom) = -4.011
- size of the total moment (μB/atom) = 0.3337


No. 3
This record from the Alexandria database describes a geometry-optimized NaYTm2S4 structure. The functional is PBE-GGA.

a b c (Å): 6.7665 3.8697 6.7790
angles (deg): 90.00 109.00 90.00
Space group P2/m (No. 10)
Inequivalent atoms, fractional coordinates:
Na 0.0000 0.0000 0.0000 x1
Y 0.5000 0.5000 0.0000 x1
Tm 0.0000 0.5000 0.5000 x1
Tm 0.5000 0.0000 0.5000 x1
S 0.2475 0.0000 0.7433 x2
S 0.2559 0.5000 0.2606 x2

Properties
- E_form (uncorrected) (eV per formula unit) = -15.23
- D(E_F) (states/eV/f.u.) = 2.48
- DFT total energy (eV per atom) = -6.059
- size of the total moment (μB/atom) = 0.0000


No. 4
This record from the Alexandria database describes a geometry-optimized Ca2PrAg3 structure. The functional is PBE-GGA.

a b c (Å): 3.7372 3.7372 11.2363
angles (deg): 90.00 90.00 90.00
Space group P4/mmm (No. 123)
Inequivalent atoms, fractional coordinates:
Ca 0.0000 0.0000 0.1655 x2
Pr 0.0000 0.0000 0.5000 x1
Ag 0.5000 0.5000 0.0000 x1
Ag 0.5000 0.5000 0.3322 x2

Properties
- D(E_F) (states/eV/f.u.) = 4.65
- DFT total energy (eV per atom) = -3.182
- size of the total moment (μB/atom) = 0.0000
- energy of formation (meV/atom) = -293


Q: size of the total moment of number 4 (Ca2PrAg3)?
A: 0.0000 μB/atom


Q: Among the records above, which one has the highest size of the total moment?
A: TlSbN3